# TlP4Pd2

A relaxed TlP4Pd2 crystal (PBE, Alexandria).

```
14
Lattice="4.905 0.000 0.000 0.000 4.905 0.000 0.000 0.000 13.177" Properties=species:S:1:pos:R:3 pbc="T T T"
Tl 0.000 0.000 0.000
Tl 2.452 2.452 6.589
P 0.000 0.000 3.085
P 0.000 0.000 10.093
P 0.000 2.452 0.000
P 0.000 2.452 6.589
P 2.452 0.000 0.000
P 2.452 0.000 6.589
P 2.452 2.452 3.504
P 2.452 2.452 9.674
Pd 0.000 0.000 5.277
Pd 0.000 0.000 7.901
Pd 2.452 2.452 1.312
Pd 2.452 2.452 11.865
```

As for the total energy: -4.064 eV/atom. As for the crystal system: tetragonal.

# TlP2Pd2

A relaxed TlP2Pd2 crystal (PBE, Alexandria).

```
10
Lattice="4.426 0.000 0.000 0.000 4.426 0.000 0.000 0.000 9.163" Properties=species:S:1:pos:R:3 pbc="T T T"
Tl 0.000 0.000 0.000
Tl 2.213 2.213 4.582
P 0.000 0.000 3.481
P 0.000 0.000 5.682
P 2.213 2.213 1.100
P 2.213 2.213 8.063
Pd 0.000 2.213 2.291
Pd 0.000 2.213 6.872
Pd 2.213 0.000 2.291
Pd 2.213 0.000 6.872
```

The energy above the most stable polymorph in this dataset comes out at 0.000 eV/atom. As for the crystal system: tetragonal.

# Tl3PPd

A relaxed Tl3PPd crystal (PBE, Alexandria).

```
5
Lattice="5.308 0.000 0.000 0.000 5.308 0.000 0.000 0.000 5.308" Properties=species:S:1:pos:R:3 pbc="T T T"
Tl 0.000 0.000 2.654
Tl 0.000 2.654 0.000
Tl 2.654 0.000 0.000
P 2.654 2.654 2.654
Pd 0.000 0.000 0.000
```

The energy above the most stable polymorph in this dataset comes out at 0.000 eV/atom. As for the crystal system: cubic.

# Tl3PPd

A relaxed Tl3PPd crystal (PBE, Alexandria).

```
5
Lattice="5.283 0.000 0.000 0.000 5.283 0.000 0.000 0.000 5.283" Properties=species:S:1:pos:R:3 pbc="T T T"
Tl 0.000 0.000 2.641
Tl 0.000 2.641 0.000
Tl 2.641 0.000 0.000
P 0.000 0.000 0.000
Pd 2.641 2.641 2.641
```

The energy above the most stable polymorph in this dataset comes out at 0.220 eV/atom. As for the crystal system: cubic.

# Tl2P6Pd21

A relaxed Tl2P6Pd21 crystal (PBE, Alexandria).

```
29
Lattice="0.000 6.088 6.088 6.088 0.000 6.088 6.088 6.088 0.000" Properties=species:S:1:pos:R:3 pbc="T T T"
Tl 3.044 3.044 3.044
Tl 9.131 9.131 9.131
P 6.088 6.088 2.885
P 6.088 2.885 6.088
P 9.290 6.088 6.088
P 2.885 6.088 6.088
P 6.088 9.290 6.088
P 6.088 6.088 9.290
Pd 1.413 1.413 1.413
Pd 4.674 4.674 1.413
Pd 4.674 1.413 4.674
Pd 6.088 3.999 3.999
Pd 8.177 6.088 3.999
Pd 8.177 3.999 6.088
Pd 10.762 7.501 7.501
Pd 3.999 6.088 3.999
Pd 6.088 8.177 3.999
Pd 3.999 3.999 6.088
Pd 6.088 6.088 6.088
Pd 8.177 8.177 6.088
Pd 6.088 3.999 8.177
Pd 8.177 6.088 8.177
Pd 1.413 4.674 4.674
Pd 3.999 8.177 6.088
Pd 3.999 6.088 8.177
Pd 6.088 8.177 8.177
Pd 7.501 10.762 7.501
Pd 7.501 7.501 10.762
Pd 10.762 10.762 10.762
```

As for the total energy: -5.488 eV/atom. As for the crystal system: cubic.

# TlP2Pd8

A relaxed TlP2Pd8 crystal (PBE, Alexandria).

```
11
Lattice="3.712 -5.445 0.000 3.712 5.445 0.000 -1.075 0.000 4.331" Properties=species:S:1:pos:R:3 pbc="T T T"
Tl 0.000 0.000 0.000
P 3.175 1.941 2.166
P 3.175 -1.941 2.166
Pd 0.823 1.444 2.561
Pd 3.712 2.685 0.000
Pd 0.823 -1.444 2.561
Pd 2.670 0.000 0.858
Pd 3.680 0.000 3.473
Pd 5.527 1.444 1.770
Pd 3.712 -2.685 0.000
Pd 5.527 -1.444 1.770
```

As for the total energy: -5.373 eV/atom. As for the crystal system: monoclinic.

Number 1: calculated volume 317.0 Å³/cell. Number 2: calculated volume 179.5 Å³/cell. Number 3: calculated volume 149.6 Å³/cell. Number 4: calculated volume 147.4 Å³/cell. Number 5: calculated volume 451.2 Å³/cell. Number 6: calculated volume 175.1 Å³/cell.